SiOsSe2 at its PBEsol-relaxed geometry. Source: the Alexandria database, functional meta-GGA SCAN.

- theoretical density (g cm⁻³) = 8.276
- energy (eV per atom) = -30.48

a b c (Å): 3.402 3.683 12.048
angles (deg): 90.00 90.00 90.00
Space group Immm (No. 71)
Unique sites:
Si: 0.000 0.000 0.000 [2 per cell]
Os: 0.000 0.000 0.500 [2 per cell]
Se: 0.000 0.500 0.349 [4 per cell]